No. 1
The following is a PBE calculation of an optimized crystal structure of AgIr4Pt, from Alexandria via LeMat-Bulk.

## Properties
As for the space group: F-43m (216). As for the density of states at the Fermi level: 11.981 states/eV per cell. For the formation energy, the calculation gives 59.24 kJ/mol of atoms. The mass density is 18061 kg/m³.

Lattice parameters (Å, degrees): 5.1846 5.1846 5.1846 60.00 60.00 60.00
Fractional positions:
Ag: 0.0000 0.0000 0.0000
Ir: 0.8749 0.3750 0.3750
Ir: 0.3750 0.3750 0.8749
Ir: 0.3750 0.8749 0.3750
Ir: 0.3750 0.3750 0.3750
Pt: 0.7500 0.7500 0.7500



No. 2
The following is a PBE calculation of an optimized crystal structure of AgIr2Pt, from Alexandria via LeMat-Bulk.

## Properties
As for the space group: R3m (160). As for the density of states at the Fermi level: 4.030 states/eV per cell. For the formation energy, the calculation gives 10.01 kJ/mol of atoms. The mass density is 18415 kg/m³.

Lattice parameters (Å, degrees): 9.4304 9.4304 9.4304 16.92 16.92 16.92
Fractional positions:
Ir: 0.9953 0.9953 0.9953
Ir: 0.2525 0.2525 0.2525
Ag: 0.7490 0.7490 0.7490
Pt: 0.5032 0.5032 0.5032